a:
YCdTc | PBEsol | relaxed

a = 4.8742 Å, b = 4.8742 Å, c = 2.8318 Å
α = 90.00°, β = 90.00°, γ = 120.00°
Space group P3m1 (No. 156)
One atom of each set of equivalent atoms:
Y: 0.0000 0.0000 0.0000 x1
Cd: 0.3333 0.6667 0.5765 x1
Tc: 0.6667 0.3333 0.3597 x1

Values from the calculation:
The value obtained for the spin magnetization is 0.00 Bohr magnetons per cell.

=====

b:
YCdTc | PBEsol | relaxed

a = 6.5179 Å, b = 6.5179 Å, c = 6.5179 Å
α = 90.00°, β = 90.00°, γ = 90.00°
Space group F-43m (No. 216)
One atom of each set of equivalent atoms:
Y: 0.0000 0.0000 0.0000 x4
Cd: 0.0000 0.0000 0.5000 x4
Tc: 0.2500 0.2500 0.2500 x4

Values from the calculation:
The value obtained for the spin magnetization is 3.34 Bohr magnetons per cell.

=====

The most stable of them is a.

=====

a:
Y2MgSb | PBEsol | relaxed

a = 4.6642 Å, b = 4.6642 Å, c = 9.2713 Å
α = 90.00°, β = 90.00°, γ = 90.00°
Space group I4/mmm (No. 139)
One atom of each set of equivalent atoms:
Y: 0.0000 0.5000 0.2500 x4
Mg: 0.0000 0.0000 0.0000 x2
Sb: 0.0000 0.0000 0.5000 x2

Values from the calculation:
The value obtained for the spin magnetization is 0.00 Bohr magnetons per cell.

=====

b:
Y2MgSb | PBEsol | relaxed

a = 5.2367 Å, b = 5.2475 Å, c = 7.8397 Å
α = 90.00°, β = 90.00°, γ = 90.00°
Space group Cmm2 (No. 35)
One atom of each set of equivalent atoms:
Y: 0.0000 0.0000 0.0000 x2
Y: 0.0000 0.5000 0.3034 x2
Mg: 0.0000 0.5000 0.7402 x2
Sb: 0.0000 0.0000 0.5523 x2

Values from the calculation:
The value obtained for the spin magnetization is 0.02 Bohr magnetons per cell.

=====

The most stable of them is a.

=====

a:
LaP2Os | PBEsol | relaxed

a = 6.5842 Å, b = 6.5842 Å, c = 6.5842 Å
α = 90.00°, β = 90.00°, γ = 90.00°
Space group F-43m (No. 216)
One atom of each set of equivalent atoms:
La: 0.0000 0.0000 0.0000 x4
P: 0.0000 0.0000 0.5000 x4
P: 0.2500 0.2500 0.7500 x4
Os: 0.2500 0.2500 0.2500 x4

Values from the calculation:
The value obtained for the spin magnetization is 0.00 Bohr magnetons per cell.

=====

b:
LaP2Os | PBEsol | relaxed

a = 3.9588 Å, b = 5.6599 Å, c = 6.7934 Å
α = 90.00°, β = 90.00°, γ = 90.00°
Space group Immm (No. 71)
One atom of each set of equivalent atoms:
La: 0.0000 0.0000 0.0000 x2
P: 0.0000 0.5000 0.1831 x4
Os: 0.0000 0.0000 0.5000 x2

Values from the calculation:
The value obtained for the spin magnetization is 0.00 Bohr magnetons per cell.

=====

The most stable of them is b.

=====

a:
CaCrIr2 | PBEsol | relaxed

a = 4.1436 Å, b = 4.1436 Å, c = 3.6806 Å
α = 90.00°, β = 90.00°, γ = 90.00°
Space group P4/mmm (No. 123)
One atom of each set of equivalent atoms:
Ca: 0.0000 0.0000 0.0000 x1
Cr: 0.5000 0.5000 0.0000 x1
Ir: 0.0000 0.5000 0.5000 x2

Values from the calculation:
The value obtained for the spin magnetization is 2.95 Bohr magnetons per cell.

=====

b:
CaCrIr2 | PBEsol | relaxed

a = 2.9309 Å, b = 4.5351 Å, c = 4.7461 Å
α = 90.00°, β = 90.00°, γ = 90.00°
Space group Pmmm (No. 47)
One atom of each set of equivalent atoms:
Ca: 0.0000 0.0000 0.0000 x1
Cr: 0.5000 0.0000 0.5000 x1
Ir: 0.0000 0.5000 0.5000 x1
Ir: 0.5000 0.5000 0.0000 x1

Values from the calculation:
The value obtained for the spin magnetization is 3.73 Bohr magnetons per cell.

=====

The most stable of them is a.

=====

a:
Cu2Ir | PBEsol | relaxed

a = 9.5803 Å, b = 2.6264 Å, c = 6.1761 Å
α = 90.00°, β = 105.58°, γ = 90.00°
Space group Cm (No. 8)
One atom of each set of equivalent atoms:
Cu: 0.0000 0.0000 0.0000 x2
Cu: 0.0473 0.0000 0.6083 x2
Cu: 0.1569 0.5000 0.3414 x2
Cu: 0.3291 0.0000 0.6624 x2
Ir: 0.2179 0.5000 0.9370 x2
Ir: 0.3791 0.0000 0.2745 x2

Values from the calculation:
The value obtained for the spin magnetization is 0.00 Bohr magnetons per cell.

=====

b:
Cu2Ir | PBEsol | relaxed

a = 8.6664 Å, b = 2.6814 Å, c = 7.0463 Å
α = 90.00°, β = 114.55°, γ = 90.00°
Space group C2/m (No. 12)
One atom of each set of equivalent atoms:
Cu: 0.0063 0.0000 0.2720 x4
Cu: 0.1700 0.5000 0.5870 x4
Ir: 0.1614 0.5000 0.0738 x4

Values from the calculation:
The value obtained for the spin magnetization is 0.00 Bohr magnetons per cell.

=====

The most stable of them is b.

=====

a:
Ca2WAu | PBEsol | relaxed

a = 3.1635 Å, b = 3.1635 Å, c = 29.3789 Å
α = 90.00°, β = 90.00°, γ = 120.00°
Space group R-3m (No. 166, hexagonal axes)
One atom of each set of equivalent atoms:
Ca: 0.0000 0.0000 0.2484 x6
W: 0.0000 0.0000 0.0000 x3
Au: 0.0000 0.0000 0.5000 x3

Values from the calculation:
The value obtained for the spin magnetization is 0.00 Bohr magnetons per cell.

=====

b:
Ca2WAu | PBEsol | relaxed

a = 11.6001 Å, b = 2.9286 Å, c = 5.4954 Å
α = 90.00°, β = 110.93°, γ = 90.00°
Space group Cm (No. 8)
One atom of each set of equivalent atoms:
Ca: 0.0000 0.0000 0.0000 x2
Ca: 0.1998 0.0000 0.6090 x2
W: 0.2644 0.5000 0.1531 x2
Au: 0.4533 0.0000 0.4891 x2

Values from the calculation:
The value obtained for the spin magnetization is 0.00 Bohr magnetons per cell.

=====

The most stable of them is b.